1.
Here is TaIr3S after structural relaxation from Alexandria via LeMat-Bulk. Energies are from PBE-GGA.

It has space group Pm-3m (No. 221), with a = 4.8003 Å, b = 4.8003 Å, c = 4.8003 Å, α = 90.00°, β = 90.00° and γ = 90.00°. Symmetry generates all atoms from Ta at (0.0000, 0.0000, 0.0000), Ir at (0.0000, 0.0000, 0.5000) and S at (0.5000, 0.5000, 0.5000).

The total energy is -33.13 eV for the cell shown. As for the energy above the most stable polymorph in this dataset: 5.448 eV per formula unit. The total moment is 0.0000 μB per atom. For the density of states at the Fermi level, the calculation gives 6.8 states/eV/cell.

***

2.
Here is TaIrS3 after structural relaxation from Alexandria via LeMat-Bulk. Energies are from PBE-GGA.

It has space group Pm-3m (No. 221), with a = 4.5469 Å, b = 4.5469 Å, c = 4.5469 Å, α = 90.00°, β = 90.00° and γ = 90.00°. Symmetry generates all atoms from Ta at (0.0000, 0.0000, 0.0000), Ir at (0.5000, 0.5000, 0.5000) and S at (0.0000, 0.5000, 0.5000).

The total energy is -28.85 eV for the cell shown. As for the energy above the most stable polymorph in this dataset: 0.824 eV per formula unit. The total moment is 0.0001 μB per atom. For the density of states at the Fermi level, the calculation gives 5.4 states/eV/cell.

***

3.
Here is TaIr3S after structural relaxation from Alexandria via LeMat-Bulk. Energies are from PBE-GGA.

It has space group Pm-3m (No. 221), with a = 4.4009 Å, b = 4.4009 Å, c = 4.4009 Å, α = 90.00°, β = 90.00° and γ = 90.00°. Symmetry generates all atoms from Ta at (0.0000, 0.0000, 0.0000), Ir at (0.0000, 0.5000, 0.5000) and S at (0.5000, 0.5000, 0.5000).

The total energy is -38.58 eV for the cell shown. As for the energy above the most stable polymorph in this dataset: 0.000 eV per formula unit. The total moment is 0.0000 μB per atom. For the density of states at the Fermi level, the calculation gives 11.6 states/eV/cell.

***

4.
Here is Ta3IrS after structural relaxation from Alexandria via LeMat-Bulk. Energies are from PBE-GGA.

It has space group Pm-3m (No. 221), with a = 4.4823 Å, b = 4.4823 Å, c = 4.4823 Å, α = 90.00°, β = 90.00° and γ = 90.00°. Symmetry generates all atoms from Ta at (0.0000, 0.0000, 0.5000), Ir at (0.5000, 0.5000, 0.5000) and S at (0.0000, 0.0000, 0.0000).

The total energy is -46.91 eV for the cell shown. As for the energy above the most stable polymorph in this dataset: 0.000 eV per formula unit. The total moment is 0.0000 μB per atom. For the density of states at the Fermi level, the calculation gives 6.7 states/eV/cell.

***

5.
Here is TaIrS after structural relaxation from Alexandria via LeMat-Bulk. Energies are from PBE-GGA.

It has space group P-1 (No. 2), with a = 3.0842 Å, b = 4.5957 Å, c = 8.7870 Å, α = 75.38°, β = 80.04° and γ = 89.99°. Symmetry generates all atoms from Ta at (0.0812, 0.3421, 0.3362), Ir at (0.4466, 0.2167, 0.6067) and S at (0.3290, 0.8101, 0.8470).

The total energy is -53.31 eV for the cell shown. The total moment is 0.0000 μB per atom. For the density of states at the Fermi level, the calculation gives 1.6 states/eV/cell.

***

6.
Here is TaIr2S after structural relaxation from Alexandria via LeMat-Bulk. Energies are from PBE-GGA.

It has space group I-42d (No. 122), with a = 5.4521 Å, b = 5.4521 Å, c = 11.2025 Å, α = 90.00°, β = 90.00° and γ = 90.00°. Symmetry generates all atoms from Ta at (0.0000, 0.0000, 0.0000), Ir at (0.2070, 0.2500, 0.6250) and S at (0.0000, 0.0000, 0.5000).

The total energy is -133.13 eV for the cell shown. The total moment is 0.0000 μB per atom. For the density of states at the Fermi level, the calculation gives 9.1 states/eV/cell.

***

7.
Here is TaIrS3 after structural relaxation from Alexandria via LeMat-Bulk. Energies are from PBE-GGA.

It has space group Pm-3m (No. 221), with a = 4.7317 Å, b = 4.7317 Å, c = 4.7317 Å, α = 90.00°, β = 90.00° and γ = 90.00°. Symmetry generates all atoms from Ta at (0.0000, 0.0000, 0.0000), Ir at (0.5000, 0.5000, 0.5000) and S at (0.0000, 0.0000, 0.5000).

The total energy is -29.67 eV for the cell shown. As for the energy above the most stable polymorph in this dataset: 0.000 eV per formula unit. The total moment is 0.4975 μB per atom. For the density of states at the Fermi level, the calculation gives 5.5 states/eV/cell.

***

8.
Here is TaTe2IrS after structural relaxation from Alexandria via LeMat-Bulk. Energies are from PBE-GGA.

It has space group P4/mmm (No. 123), with a = 5.4311 Å, b = 5.4311 Å, c = 4.2591 Å, α = 90.00°, β = 90.00° and γ = 90.00°. Symmetry generates all atoms from Ta at (0.0000, 0.0000, 0.0000), Te at (0.0000, 0.5000, 0.5000), Ir at (0.5000, 0.5000, 0.5000) and S at (0.5000, 0.5000, 0.0000).

The total energy is -26.80 eV for the cell shown. The total moment is 0.4197 μB per atom. For the density of states at the Fermi level, the calculation gives 4.7 states/eV/cell.

***

9.
Here is Tb6IrS5 after structural relaxation from Alexandria via LeMat-Bulk. Energies are from PBE-GGA.

It has space group C2/m (No. 12), with a = 6.9028 Å, b = 11.9340 Å, c = 6.8638 Å, α = 90.00°, β = 109.57° and γ = 90.00°. Symmetry generates all atoms from Tb at (0.2451, 0.1641, 0.2448), Tb at (0.2459, 0.0000, 0.7527), Ir at (0.0000, 0.0000, 0.0000), S at (0.0000, 0.1713, 0.5000), S at (0.0000, 0.3339, 0.0000) and S at (0.0000, 0.5000, 0.5000).

The total energy is -157.78 eV for the cell shown. The total moment is 0.0000 μB per atom. For the density of states at the Fermi level, the calculation gives 13.9 states/eV/cell.

***

10.
Here is TbIrS after structural relaxation from Alexandria via LeMat-Bulk. Energies are from PBE-GGA.

It has space group Amm2 (No. 38), with a = 3.3745 Å, b = 5.1804 Å, c = 7.1059 Å, α = 90.00°, β = 90.00° and γ = 90.00°. Symmetry generates all atoms from Tb at (0.0000, 0.0000, 0.0000), Ir at (0.5000, 0.0000, 0.3739) and S at (0.0000, 0.0000, 0.5946).

The total energy is -38.61 eV for the cell shown. The total moment is 0.0000 μB per atom. For the density of states at the Fermi level, the calculation gives 3.0 states/eV/cell.

***

11.
Here is Tb8Te3Ir3S after structural relaxation from Alexandria via LeMat-Bulk. Energies are from PBE-GGA.

It has space group R-3m (No. 166, hexagonal axes), with a = 8.2931 Å, b = 8.2931 Å, c = 21.3160 Å, α = 90.00°, β = 90.00° and γ = 120.00°. Symmetry generates all atoms from Tb at (0.0000, 0.0000, 0.2358), Tb at (0.0102, 0.5051, 0.7637), Te at (0.0000, 0.5000, 0.0000), Ir at (0.0000, 0.5000, 0.5000) and S at (0.0000, 0.0000, 0.5000).

The total energy is -280.31 eV for the cell shown. The total moment is 0.0000 μB per atom. For the density of states at the Fermi level, the calculation gives 29.2 states/eV/cell.

***

12.
Here is Tb4Te2IrS after structural relaxation from Alexandria via LeMat-Bulk. Energies are from PBE-GGA.

It has space group P2/m (No. 10), with a = 7.3188 Å, b = 4.1144 Å, c = 7.4871 Å, α = 90.00°, β = 108.41° and γ = 90.00°. Symmetry generates all atoms from Tb at (0.2252, 0.0000, 0.2057), Tb at (0.2559, 0.5000, 0.7881), Te at (0.0000, 0.0000, 0.5000), Te at (0.5000, 0.5000, 0.5000), Ir at (0.0000, 0.5000, 0.0000) and S at (0.5000, 0.0000, 0.0000).

The total energy is -48.79 eV for the cell shown. The total moment is 0.0000 μB per atom. For the density of states at the Fermi level, the calculation gives 5.5 states/eV/cell.